LiAlVO4 | PBEsol | relaxed

Unit cell a=8.542 b=8.542 c=8.542 alpha=107.46 beta=107.46 gamma=107.46
Site moments in Bohr magnetons follow the coordinates.
Positions (direct):
O: 0.280 0.956 0.965  -0.05
O: 0.685 0.669 0.347  0.00
O: 0.333 0.047 0.384  0.01
O: 0.035 0.720 0.044  -0.05
O: 0.384 0.333 0.047  0.01
Al: 0.383 0.557 0.790  0.00
Al: 0.557 0.790 0.383  0.00
O: 0.616 0.667 0.953  0.01
O: 0.085 0.750 0.417  0.01
Al: 0.443 0.210 0.617  0.00
O: 0.250 0.583 0.915  0.01
V: 0.721 0.886 0.136  0.96
O: 0.653 0.315 0.331  0.00
Li: 0.532 0.926 0.769  0.00
Al: 0.617 0.443 0.210  0.00
O: 0.956 0.965 0.280  -0.05
O: 0.953 0.616 0.667  0.01
O: 0.347 0.685 0.669  0.00
V: 0.864 0.279 0.114  0.96
O: 0.915 0.250 0.583  0.01
O: 0.750 0.417 0.085  0.01
Li: 0.769 0.532 0.926  0.00
Al: 0.210 0.617 0.443  0.00
O: 0.965 0.280 0.956  -0.05
V: 0.279 0.114 0.864  0.96
V: 0.114 0.864 0.279  0.96
V: 0.886 0.136 0.721  0.96
Li: 0.231 0.468 0.074  0.00
Li: 0.468 0.074 0.231  0.00
Al: 0.790 0.383 0.557  0.00
O: 0.669 0.347 0.685  0.00
V: 0.136 0.721 0.886  0.96
O: 0.047 0.384 0.333  0.01
O: 0.044 0.035 0.720  -0.05
O: 0.315 0.331 0.653  0.00
O: 0.667 0.953 0.616  0.01
O: 0.583 0.915 0.250  0.01
O: 0.331 0.653 0.315  0.00
Li: 0.074 0.231 0.468  0.00
O: 0.720 0.044 0.035  -0.05
Li: 0.926 0.769 0.532  0.00
O: 0.417 0.085 0.750  0.01

Results
E_form (uncorrected) (kJ/mol of atoms): -243.2
Space-group type: R-3 (148)